# 1
Compound: EuPb
Source: Alexandria via LeMat-Bulk
Functional: PBE
Structure: optimized geometry

The structure in CIF format:
```
data_EuPb
_chemical_formula_sum 'Eu1 Pb1'
_cell_length_a 4.056
_cell_length_b 4.056
_cell_length_c 3.930
_cell_angle_alpha 90.00
_cell_angle_beta 90.00
_cell_angle_gamma 90.00
_symmetry_space_group_name_H-M 'P 1'
_symmetry_Int_Tables_number 1
_symmetry_space_group_name_Hall 'P 1'
loop_
_atom_site_label
_atom_site_type_symbol
_atom_site_fract_x
_atom_site_fract_y
_atom_site_fract_z
Eu1 Eu 0.000 0.000 0.000
Pb1 Pb 0.500 0.500 0.500
```

Computed properties:
Energy relative to the elements: -0.52 eV per atom
Crystal system: tetragonal

=====

# 2
Compound: SnSbBr2
Source: Alexandria via LeMat-Bulk
Functional: PBE
Structure: optimized geometry

The structure in CIF format:
```
data_SnSbBr2
_chemical_formula_sum 'Sn1 Sb1 Br2'
_cell_length_a 10.694
_cell_length_b 10.694
_cell_length_c 10.694
_cell_angle_alpha 19.40
_cell_angle_beta 19.40
_cell_angle_gamma 19.40
_symmetry_space_group_name_H-M 'P 1'
_symmetry_Int_Tables_number 1
_symmetry_space_group_name_Hall 'P 1'
loop_
_atom_site_label
_atom_site_type_symbol
_atom_site_fract_x
_atom_site_fract_y
_atom_site_fract_z
Br1 Br 0.089 0.089 0.089
Br2 Br 0.911 0.911 0.911
Sb1 Sb 0.000 0.000 0.000
Sn1 Sn 0.500 0.500 0.500
```

Computed properties:
Energy above the lowest structure with this stoichiometry: 0.0 kJ/mol of atoms
Formation energy (no corrections): -0.195 eV per atom
Crystal system: trigonal

=====

Question: What is the formula in the second record?
Answer: SnSbBr2

=====

Please write out number 1 again, unchanged.
Compound: EuPb
Source: Alexandria via LeMat-Bulk
Functional: PBE
Structure: optimized geometry

The structure in CIF format:
```
data_EuPb
_chemical_formula_sum 'Eu1 Pb1'
_cell_length_a 4.056
_cell_length_b 4.056
_cell_length_c 3.930
_cell_angle_alpha 90.00
_cell_angle_beta 90.00
_cell_angle_gamma 90.00
_symmetry_space_group_name_H-M 'P 1'
_symmetry_Int_Tables_number 1
_symmetry_space_group_name_Hall 'P 1'
loop_
_atom_site_label
_atom_site_type_symbol
_atom_site_fract_x
_atom_site_fract_y
_atom_site_fract_z
Eu1 Eu 0.000 0.000 0.000
Pb1 Pb 0.500 0.500 0.500
```

Computed properties:
Energy relative to the elements: -0.52 eV per atom
Crystal system: tetragonal